Entry 1:
Compound: NbAlAu3
Source: the Alexandria database
Functional: meta-GGA SCAN
Structure: PBEsol geometry

```
data_NbAlAu3
_chemical_formula_sum 'Nb1 Al1 Au3'
_cell_length_a 4.605
_cell_length_b 4.605
_cell_length_c 4.605
_cell_angle_alpha 90.00
_cell_angle_beta 90.00
_cell_angle_gamma 90.00
_symmetry_space_group_name_H-M 'P m -3 m'
_symmetry_Int_Tables_number 221
_symmetry_space_group_name_Hall '-P 4 2 3'
loop_
_atom_site_label
_atom_site_fract_x
_atom_site_fract_y
_atom_site_fract_z
Nb1 0.000 0.000 0.000
Al1 0.500 0.500 0.500
Au1 0.000 0.500 0.500
```

Computed properties:
Formation energy from the elements in kJ/mol of atoms: 43.5
Crystal system: cubic

Entry 2:
Compound: YPt2
Source: the Alexandria database
Functional: meta-GGA SCAN
Structure: PBEsol geometry

```
data_YPt2
_chemical_formula_sum 'Y4 Pt8'
_cell_length_a 4.153
_cell_length_b 6.936
_cell_length_c 8.095
_cell_angle_alpha 90.00
_cell_angle_beta 90.00
_cell_angle_gamma 90.00
_symmetry_space_group_name_H-M 'I m m a'
_symmetry_Int_Tables_number 74
_symmetry_space_group_name_Hall '-I 2b 2'
loop_
_atom_site_label
_atom_site_fract_x
_atom_site_fract_y
_atom_site_fract_z
Y1 0.000 0.250 0.055
Pt1 0.000 0.041 0.655
```

Computed properties:
Formation energy from the elements in kJ/mol of atoms: -115.9
Crystal system: orthorhombic

Entry 3:
Compound: AlAs2Pb
Source: the Alexandria database
Functional: meta-GGA SCAN
Structure: PBEsol geometry

```
data_AlAs2Pb
_chemical_formula_sum 'Al4 As8 Pb4'
_cell_length_a 6.112
_cell_length_b 6.112
_cell_length_c 11.951
_cell_angle_alpha 90.00
_cell_angle_beta 90.00
_cell_angle_gamma 90.00
_symmetry_space_group_name_H-M 'I -4 2 d'
_symmetry_Int_Tables_number 122
_symmetry_space_group_name_Hall 'I -4 2bw'
loop_
_atom_site_label
_atom_site_fract_x
_atom_site_fract_y
_atom_site_fract_z
Al1 0.000 0.000 0.000
As1 0.198 0.250 0.125
Pb1 0.000 0.000 0.500
```

Computed properties:
Formation energy from the elements in kJ/mol of atoms: -14.8
Crystal system: tetragonal
E above lowest polymorph in eV/atom: 0.000

Entry 4:
Compound: Tl3VSe4
Source: the Alexandria database
Functional: meta-GGA SCAN
Structure: PBEsol geometry

```
data_Tl3VSe4
_chemical_formula_sum 'Tl6 V2 Se8'
_cell_length_a 7.633
_cell_length_b 7.633
_cell_length_c 7.633
_cell_angle_alpha 90.00
_cell_angle_beta 90.00
_cell_angle_gamma 90.00
_symmetry_space_group_name_H-M 'I -4 3 m'
_symmetry_Int_Tables_number 217
_symmetry_space_group_name_Hall 'I -4 2 3'
loop_
_atom_site_label
_atom_site_fract_x
_atom_site_fract_y
_atom_site_fract_z
Tl1 0.000 0.000 0.500
V1 0.000 0.000 0.000
Se1 0.172 0.172 0.172
```

Computed properties:
Raw formation energy in kcal/mol of atoms: -13.7
Crystal system: cubic

Entry 5:
Compound: SrSbRh2
Source: the Alexandria database
Functional: meta-GGA SCAN
Structure: PBEsol geometry

```
data_SrSbRh2
_chemical_formula_sum 'Sr1 Sb1 Rh2'
_cell_length_a 3.280
_cell_length_b 3.280
_cell_length_c 7.250
_cell_angle_alpha 90.00
_cell_angle_beta 90.00
_cell_angle_gamma 90.00
_symmetry_space_group_name_H-M 'P 4/m m m'
_symmetry_Int_Tables_number 123
_symmetry_space_group_name_Hall '-P 4 2'
loop_
_atom_site_label
_atom_site_fract_x
_atom_site_fract_y
_atom_site_fract_z
Sr1 0.000 0.000 0.000
Sb1 0.000 0.000 0.500
Rh1 0.500 0.500 0.303
```

Computed properties:
Raw formation energy in kcal/mol of atoms: -6.4
Crystal system: tetragonal

Entry 6:
Compound: CaMgBr2
Source: the Alexandria database
Functional: meta-GGA SCAN
Structure: PBEsol geometry

```
data_CaMgBr2
_chemical_formula_sum 'Ca2 Mg2 Br4'
_cell_length_a 4.263
_cell_length_b 4.263
_cell_length_c 11.776
_cell_angle_alpha 90.00
_cell_angle_beta 90.00
_cell_angle_gamma 90.00
_symmetry_space_group_name_H-M 'I -4 m 2'
_symmetry_Int_Tables_number 119
_symmetry_space_group_name_Hall 'I -4 -2'
loop_
_atom_site_label
_atom_site_fract_x
_atom_site_fract_y
_atom_site_fract_z
Ca1 0.000 0.000 0.000
Mg1 0.000 0.500 0.250
Br1 0.000 0.000 0.500
Br2 0.000 0.500 0.750
```

Computed properties:
Raw formation energy in kcal/mol of atoms: -22.4
Crystal system: tetragonal

Entry 7:
Compound: TlGeTe2
Source: the Alexandria database
Functional: meta-GGA SCAN
Structure: PBEsol geometry

```
data_TlGeTe2
_chemical_formula_sum 'Tl3 Ge3 Te6'
_cell_length_a 3.2469
_cell_length_b 3.2469
_cell_length_c 35.7351
_cell_angle_alpha 90.00
_cell_angle_beta 90.00
_cell_angle_gamma 120.00
_symmetry_space_group_name_H-M 'R -3 m'
_symmetry_Int_Tables_number 166
_symmetry_space_group_name_Hall '-R 3 2"'
loop_
_atom_site_label
_atom_site_fract_x
_atom_site_fract_y
_atom_site_fract_z
Tl1 0.0000 0.0000 0.0000
Ge1 0.0000 0.0000 0.5000
Te1 0.0000 0.0000 0.4182
```

Computed properties:
Raw formation energy in kcal/mol of atoms: 4.9
Crystal system: trigonal

Entry 8:
Compound: PPbC2
Source: the Alexandria database
Functional: meta-GGA SCAN
Structure: PBEsol geometry

```
data_PPbC2
_chemical_formula_sum 'P4 Pb4 C8'
_cell_length_a 5.180
_cell_length_b 5.180
_cell_length_c 8.016
_cell_angle_alpha 90.00
_cell_angle_beta 90.00
_cell_angle_gamma 90.00
_symmetry_space_group_name_H-M 'I -4 2 d'
_symmetry_Int_Tables_number 122
_symmetry_space_group_name_Hall 'I -4 2bw'
loop_
_atom_site_label
_atom_site_fract_x
_atom_site_fract_y
_atom_site_fract_z
P1 0.000 0.000 0.000
Pb1 0.000 0.000 0.500
C1 0.134 0.750 0.125
```

Computed properties:
Formation energy from the elements in kJ/mol of atoms: 88.3
Crystal system: tetragonal

Number 1: magnetization 2.5 μB per formula unit, final energy -246.1 eV per cell. Number 2: magnetization 0.0 μB per formula unit, final energy -687.3 eV per cell. Number 3: magnetization 0.0 μB per formula unit, final energy -498.1 eV per cell. Number 4: magnetization 0.0 μB per formula unit, final energy -639.3 eV per cell. Number 5: magnetization 0.0 μB per formula unit, final energy -128.2 eV per cell. Number 6: magnetization 0.0 μB per formula unit, final energy -114.9 eV per cell. Number 7: magnetization 0.0 μB per formula unit, final energy -495.3 eV per cell. Number 8: magnetization 0.0 μB per formula unit, final energy -410.9 eV per cell.